Tl2TePb (PBE, relaxed); density = 9.37 Mg/m³; energy relative to the elements, uncorrected = -0.13 eV per atom; uncorrected energy = -3.025 eV per atom; offset from the most stable computed form = 18 meV/atom; M_tot = 0.00 μB per formula unit
1.0
6.465 0.051 0.004
2.601 5.919 -0.004
-4.191 -3.505 3.457
Pb Tl Te
1 2 1
Direct
0.471 0.471 0.000 Pb
0.015 0.015 0.000 Tl
0.748 0.248 0.500 Tl
0.266 0.766 0.500 Te